(1)
Density functional theory data (PBE) for an optimized crystal structure of Ce3YHo3Te8.

Geometry as POSCAR:
```
Ce3YHo3Te8
1.0
4.3814 2.5296 7.2539
-4.3814 2.5296 7.2539
0.0000 -5.0593 7.2539
Ce Y Ho Te
3 1 3 8
Cartesian
-2.1907 -1.2648 7.2539
-2.1907 1.2648 14.5079
0.0000 2.5296 7.2539
0.0000 0.0000 10.8809
-4.3814 0.0000 10.8809
-2.1907 1.2648 3.6270
2.1907 1.2648 3.6270
-2.2516 -1.2999 12.6506
0.0000 0.0000 5.3515
0.0000 -2.5999 9.1112
-2.2516 1.2999 9.1112
2.2516 -1.2999 12.6506
0.0000 2.5999 12.6506
0.0000 0.0000 16.4103
2.2516 1.2999 9.1112
```

* DOS at the Fermi energy: 1.57 states/eV per atom
* formation energy without anion corrections: -1.376 eV per atom



(2)
Density functional theory data (PBE) for an optimized crystal structure of CrNiTe2N.

Geometry as POSCAR:
```
CrNiTe2N
1.0
5.2449 0.0000 0.0000
0.0000 5.2449 0.0000
0.0000 0.0000 3.4756
Cr Ni Te N
1 1 2 1
Cartesian
0.0000 0.0000 0.0000
2.6224 2.6224 1.7378
0.0000 2.6224 0.0000
2.6224 0.0000 0.0000
0.0000 0.0000 1.7378
```

* DOS at the Fermi energy: 0.75 states/eV per atom
* relative energy among the computed polymorphs: 0 meV per atom
* formation energy without anion corrections: 0.409 eV per atom



(3)
Density functional theory data (PBE) for an optimized crystal structure of Rh2C.

Geometry as POSCAR:
```
Rh2C
1.0
2.8063 0.0000 0.0000
-1.4032 2.4303 0.0000
0.0000 0.0000 5.2953
Rh C
2 1
Cartesian
0.0000 0.0000 1.2896
0.0000 0.0000 4.0056
0.0000 1.6202 2.6476
```

* DOS at the Fermi energy: 0.65 states/eV per atom
* relative energy among the computed polymorphs: 227 meV per atom
* formation energy from the elements: 0.419 eV per atom



(4)
Density functional theory data (PBE) for an optimized crystal structure of BeCrRuW.

Geometry as POSCAR:
```
BeCrRuW
1.0
5.9411 0.0000 0.0000
0.0000 5.9411 0.0000
0.0000 0.0000 5.9411
Be Cr Ru W
4 4 4 4
Cartesian
0.0000 0.0000 0.0000
0.0000 2.9705 2.9705
2.9705 0.0000 2.9705
2.9705 2.9705 0.0000
1.4853 1.4853 1.4853
1.4853 4.4558 4.4558
4.4558 1.4853 4.4558
4.4558 4.4558 1.4853
1.4853 1.4853 4.4558
1.4853 4.4558 1.4853
4.4558 1.4853 1.4853
4.4558 4.4558 4.4558
0.0000 0.0000 2.9705
0.0000 2.9705 0.0000
2.9705 0.0000 0.0000
2.9705 2.9705 2.9705
```

* DOS at the Fermi energy: 0.67 states/eV per atom
* formation energy from the elements: 0.021 eV per atom



(5)
Density functional theory data (PBE) for an optimized crystal structure of La3YEr6.

Geometry as POSCAR:
```
La3YEr6
1.0
4.9539 2.8601 3.8647
-4.9539 2.8601 3.8647
0.0000 -5.7203 3.8647
La Y Er
3 1 6
Cartesian
0.0000 0.0000 0.0000
0.0000 0.0000 2.8722
0.0000 0.0000 8.7219
0.0000 0.0000 5.7971
-1.7282 -2.8283 4.8152
-3.3135 0.0825 6.7790
-1.5853 2.9108 4.8152
1.5853 -2.9108 6.7790
3.3135 -0.0825 4.8152
1.7282 2.8283 6.7790
```

* DOS at the Fermi energy: 2.19 states/eV per atom
* relative energy among the computed polymorphs: 78 meV per atom
* formation energy from the elements: 0.301 eV per atom



(6)
Density functional theory data (PBE) for an optimized crystal structure of Tm5C2S2.

Geometry as POSCAR:
```
Tm5C2S2
1.0
6.6910 -3.4679 0.0000
6.6910 3.4679 0.0000
0.0000 0.0000 6.9932
Tm C S
10 4 4
Cartesian
0.0000 0.0000 0.0000
5.0516 2.3824 4.5818
5.0516 1.0855 1.0852
8.3305 2.3824 4.5818
8.3305 1.0855 1.0852
6.6910 0.0000 3.4966
5.0516 -1.0855 5.9080
5.0516 -2.3824 2.4114
8.3305 -1.0855 5.9080
8.3305 -2.3824 2.4114
6.6910 2.3086 2.3806
6.6910 1.1593 5.8772
6.6910 -1.1593 1.1160
6.6910 -2.3086 4.6126
2.6813 0.0000 0.0000
4.0097 0.0000 3.4966
9.3723 0.0000 3.4966
10.7007 0.0000 0.0000
```

* DOS at the Fermi energy: 0.48 states/eV per atom
* formation energy without anion corrections: -0.820 eV per atom



Going through the records in order, we get VASP energy values of -0.2053; -0.2056; -0.2777; -0.3261; -0.1676; -0.2305 Ha/atom.